First-principles (PBE) data for Ho6TeAs2P3 after structural relaxation, as listed in Alexandria via LeMat-Bulk.

Cell: 4.070 8.201 9.128 Å, 103.16 102.88 90.00°
Atoms (fractional coordinates):
Ho 0.675 0.084 0.351
Ho 0.999 0.273 0.997
Ho 0.325 0.916 0.649
Ho 0.001 0.727 0.003
Ho 0.334 0.413 0.667
Ho 0.666 0.587 0.333
As 0.166 0.333 0.333
As 0.834 0.667 0.667
P 0.500 0.500 0.000
P 0.835 0.167 0.671
P 0.165 0.833 0.329
Te 0.500 0.000 0.000

## Properties
* energy relative to the elements, uncorrected: -1.5619 eV/atom
* symmetry: No. 12
* E_tot: -6.240 eV per atom